This record from Alexandria describes a geometry-optimized KAuNF2 structure. The functional is GGA-PBE.

It has space group P4/mmm (No. 123), with a = 4.258 Å, b = 4.258 Å, c = 6.902 Å, α = 90.00°, β = 90.00° and γ = 90.00°. Symmetry generates all atoms from K at (0.000, 0.000, 0.000), Au at (0.000, 0.000, 0.500), N at (0.500, 0.500, 0.000) and F at (0.000, 0.500, 0.500).

The total energy comes out at -3.144 eV/atom. Its density of states at the Fermi level is 0.689 states/eV per atom. For the spin magnetization, the calculation gives 0.054 μB per atom. As for the crystal system: tetragonal. The calculation puts the distance to the lowest polymorph of the same formula at 786 meV/atom.

***

This record from Alexandria describes a geometry-optimized KAuNF2 structure. The functional is GGA-PBE.

It has space group P4/mmm (No. 123), with a = 4.815 Å, b = 4.815 Å, c = 3.761 Å, α = 90.00°, β = 90.00° and γ = 90.00°. Symmetry generates all atoms from K at (0.000, 0.000, 0.000), Au at (0.500, 0.500, 0.500), N at (0.500, 0.500, 0.000) and F at (0.000, 0.500, 0.500).

The total energy comes out at -3.931 eV/atom. Its density of states at the Fermi level is 0.372 states/eV per atom. For the spin magnetization, the calculation gives 0.084 μB per atom. As for the crystal system: tetragonal. The calculation puts the distance to the lowest polymorph of the same formula at 0 meV/atom.

***

This record from Alexandria describes a geometry-optimized KAuNF2 structure. The functional is GGA-PBE.

It has space group P4/mmm (No. 123), with a = 4.850 Å, b = 4.850 Å, c = 5.008 Å, α = 90.00°, β = 90.00° and γ = 90.00°. Symmetry generates all atoms from K at (0.000, 0.000, 0.000), Au at (0.500, 0.500, 0.500), N at (0.000, 0.000, 0.500) and F at (0.000, 0.500, 0.000).

The total energy comes out at -2.869 eV/atom. Its density of states at the Fermi level is 0.400 states/eV per atom. For the spin magnetization, the calculation gives 0.607 μB per atom. As for the crystal system: tetragonal. The calculation puts the distance to the lowest polymorph of the same formula at 1061 meV/atom.

***

This record from Alexandria describes a geometry-optimized KNa4Au3F12 structure. The functional is GGA-PBE.

It has space group Im-3 (No. 204), with a = 8.489 Å, b = 8.489 Å, c = 8.489 Å, α = 90.00°, β = 90.00° and γ = 90.00°. Symmetry generates all atoms from K at (0.000, 0.000, 0.000), Na at (0.250, 0.250, 0.250), Au at (0.000, 0.000, 0.500) and F at (0.000, 0.317, 0.163).

The total energy comes out at -3.842 eV/atom. Its density of states at the Fermi level is 0.581 states/eV per atom. For the spin magnetization, the calculation gives 0.100 μB per atom. As for the crystal system: cubic.

***

no.,formation energy from raw total energies (eV per atom)
1,0.14
2,-0.64
3,0.42
4,-1.91